No. 1
# HfAlCo PBE relaxed
data_HfAlCo
_chemical_formula_sum 'Hf6 Al6 Co6'
_cell_length_a 4.147
_cell_length_b 12.042
_cell_length_c 6.092
_cell_angle_alpha 90.00
_cell_angle_beta 90.00
_cell_angle_gamma 90.00
_symmetry_space_group_name_H-M 'I m m 2'
_symmetry_Int_Tables_number 44
loop_
_symmetry_equiv_pos_as_xyz
'x,y,z'
'-x,-y,z'
'-x,y,z'
'x,-y,z'
'x+1/2,y+1/2,z+1/2'
'-x+1/2,-y+1/2,z+1/2'
'-x+1/2,y+1/2,z+1/2'
'x+1/2,-y+1/2,z+1/2'
loop_
_atom_site_label
_atom_site_type_symbol
_atom_site_fract_x
_atom_site_fract_y
_atom_site_fract_z
_atom_site_occupancy
Hf1 Hf 0.000 0.000 0.000 1
Hf2 Hf 0.000 0.341 0.061 1
Al1 Al 0.000 0.000 0.512 1
Al2 Al 0.000 0.321 0.567 1
Co1 Co 0.000 0.163 0.290 1
Co2 Co 0.000 0.500 0.763 1
# Theoretical density, g/cm³: 8.7
# Energy, eV/atom: -7.30
# Energy of formation, kJ/mol of atoms: -34.9
# DOS at the Fermi energy, states/eV/f.u.: 2.0

=====

No. 2
# Hf2AlCo PBE relaxed
data_Hf2AlCo
_chemical_formula_sum 'Hf2 Al1 Co1'
_cell_length_a 3.025
_cell_length_b 3.025
_cell_length_c 7.582
_cell_angle_alpha 90.00
_cell_angle_beta 90.00
_cell_angle_gamma 90.00
_symmetry_space_group_name_H-M 'P 4/m m m'
_symmetry_Int_Tables_number 123
_symmetry_space_group_name_Hall '-P 4 2'
loop_
_atom_site_label
_atom_site_type_symbol
_atom_site_fract_x
_atom_site_fract_y
_atom_site_fract_z
_atom_site_occupancy
Hf1 Hf 0.000 0.000 0.222 1
Al1 Al 0.500 0.500 0.500 1
Co1 Co 0.500 0.500 0.000 1
# Theoretical density, g/cm³: 10.6
# Energy, eV/atom: -8.01
# Energy of formation, kJ/mol of atoms: -30.9
# DOS at the Fermi energy, states/eV/f.u.: 3.0

=====

Looking at volume for the records above, in order, we have 304 69 Å³ per cell.